Compound: KGePb
Source: the Alexandria database
Functional: GGA-PBE
Structure: optimized geometry

a = 6.8011 Å, b = 3.8832 Å, c = 7.7679 Å
α = 90.00°, β = 106.78°, γ = 90.00°
Space group Pm (No. 6)
Inequivalent atoms, fractional coordinates:
K 0.0000 0.0000 0.0000 (multiplicity 1)
K 0.1755 0.0000 0.5172 (multiplicity 1)
Ge 0.3918 0.5000 0.2677 (multiplicity 1)
Ge 0.6448 0.0000 0.2474 (multiplicity 1)
Pb 0.4667 0.5000 0.9162 (multiplicity 1)
Pb 0.7206 0.5000 0.5932 (multiplicity 1)

Results
The calculated total energy comes out at -3.206 eV per atom. As for the distance to the lowest polymorph of the same formula: 0.054 eV/atom. The calculated formation energy comes out at -64.6 meV per atom.

---

Compound: KGe4Pb
Source: the Alexandria database
Functional: GGA-PBE
Structure: optimized geometry

a = 8.2707 Å, b = 8.2707 Å, c = 8.2707 Å
α = 90.00°, β = 90.00°, γ = 90.00°
Space group F-43m (No. 216)
Inequivalent atoms, fractional coordinates:
K 0.0000 0.0000 0.0000 (multiplicity 4)
Ge 0.1268 0.1268 0.6268 (multiplicity 16)
Pb 0.2500 0.2500 0.2500 (multiplicity 4)

Results
The calculated total energy comes out at -3.746 eV per atom. The calculated formation energy comes out at 133.1 meV per atom.

---

Compound: K2Ge3Pt4Pb
Source: the Alexandria database
Functional: GGA-PBE
Structure: optimized geometry

a = 4.5935 Å, b = 4.5935 Å, c = 10.3406 Å
α = 90.00°, β = 90.00°, γ = 90.00°
Space group P-4m2 (No. 115)
Inequivalent atoms, fractional coordinates:
K 0.0000 0.5000 0.2417 (multiplicity 2)
Ge 0.0000 0.5000 0.8888 (multiplicity 2)
Ge 0.5000 0.5000 0.5000 (multiplicity 1)
Pt 0.0000 0.0000 0.0000 (multiplicity 1)
Pt 0.0000 0.5000 0.6454 (multiplicity 2)
Pt 0.5000 0.5000 0.0000 (multiplicity 1)
Pb 0.0000 0.0000 0.5000 (multiplicity 1)

Results
The calculated total energy comes out at -4.758 eV per atom. The calculated formation energy comes out at -366.4 meV per atom.

---

Compound: K2Ge2PbS6
Source: the Alexandria database
Functional: GGA-PBE
Structure: optimized geometry

a = 9.4766 Å, b = 14.7284 Å, c = 9.0965 Å
α = 90.00°, β = 90.03°, γ = 90.00°
Space group C2/c (No. 15)
Inequivalent atoms, fractional coordinates:
K 0.1014 0.1360 0.0158 (multiplicity 8)
Ge 0.1843 0.3393 0.5576 (multiplicity 8)
Pb 0.0000 0.4922 0.2500 (multiplicity 4)
S 0.0423 0.3668 0.9683 (multiplicity 8)
S 0.2021 0.0506 0.3329 (multiplicity 8)
S 0.2126 0.1989 0.6618 (multiplicity 8)

Results
The calculated total energy comes out at -4.367 eV per atom. The formation energy (no corrections) is -0.7390 eV per atom.

---

Compound: K2GePbS4
Source: the Alexandria database
Functional: GGA-PBE
Structure: optimized geometry

a = 9.5801 Å, b = 8.4631 Å, c = 6.4214 Å
α = 90.00°, β = 90.00°, γ = 90.00°
Space group Pmn2_1 (No. 31)
Inequivalent atoms, fractional coordinates:
K 0.2437 0.1680 0.0000 (multiplicity 4)
Ge 0.0000 0.6587 0.0594 (multiplicity 2)
Pb 0.0000 0.3359 0.5194 (multiplicity 2)
S 0.0000 0.4073 0.9368 (multiplicity 2)
S 0.0000 0.6334 0.4115 (multiplicity 2)
S 0.1959 0.7909 0.9867 (multiplicity 4)

Results
The calculated total energy comes out at -4.159 eV per atom. The formation energy (no corrections) is -0.7803 eV per atom.

---

Compound: KGePbSe2
Source: the Alexandria database
Functional: GGA-PBE
Structure: optimized geometry

a = 5.2475 Å, b = 5.2475 Å, c = 5.6076 Å
α = 90.00°, β = 90.00°, γ = 90.00°
Space group P4/mmm (No. 123)
Inequivalent atoms, fractional coordinates:
K 0.0000 0.0000 0.0000 (multiplicity 1)
Ge 0.0000 0.0000 0.5000 (multiplicity 1)
Pb 0.5000 0.5000 0.0000 (multiplicity 1)
Se 0.0000 0.5000 0.5000 (multiplicity 2)

Results
The calculated total energy comes out at -3.118 eV per atom. The formation energy (no corrections) is 0.1601 eV per atom.

---

Compound: KGeTe4Pb2
Source: the Alexandria database
Functional: GGA-PBE
Structure: optimized geometry

a = 8.9517 Å, b = 9.3509 Å, c = 12.9771 Å
α = 90.00°, β = 90.00°, γ = 90.00°
Space group Imma (No. 74)
Inequivalent atoms, fractional coordinates:
K 0.2500 0.2500 0.2500 (multiplicity 4)
Ge 0.0000 0.0000 0.0000 (multiplicity 4)
Te 0.0000 0.0150 0.7598 (multiplicity 8)
Te 0.2324 0.2500 0.9938 (multiplicity 8)
Pb 0.0000 0.0000 0.5000 (multiplicity 4)
Pb 0.2500 0.2500 0.7500 (multiplicity 4)

Results
The calculated total energy comes out at -3.537 eV per atom. The formation energy (no corrections) is -0.3252 eV per atom.

---

Compound: K2TlGePb
Source: the Alexandria database
Functional: GGA-PBE
Structure: optimized geometry

a = 6.6300 Å, b = 6.6300 Å, c = 5.6742 Å
α = 90.00°, β = 90.00°, γ = 90.00°
Space group P4/mmm (No. 123)
Inequivalent atoms, fractional coordinates:
K 0.0000 0.5000 0.0000 (multiplicity 2)
Tl 0.0000 0.0000 0.0000 (multiplicity 1)
Ge 0.5000 0.5000 0.5000 (multiplicity 1)
Pb 0.0000 0.0000 0.5000 (multiplicity 1)

Results
The calculated total energy comes out at -2.052 eV per atom. The calculated formation energy comes out at 525.8 meV per atom.

---

Compound: KGe2PbW
Source: the Alexandria database
Functional: GGA-PBE
Structure: optimized geometry

a = 5.6204 Å, b = 5.6204 Å, c = 5.4054 Å
α = 90.00°, β = 90.00°, γ = 90.00°
Space group P4/mmm (No. 123)
Inequivalent atoms, fractional coordinates:
K 0.0000 0.0000 0.0000 (multiplicity 1)
Ge 0.0000 0.5000 0.5000 (multiplicity 2)
Pb 0.5000 0.5000 0.5000 (multiplicity 1)
W 0.5000 0.5000 0.0000 (multiplicity 1)

Results
The calculated total energy comes out at -3.918 eV per atom. The calculated formation energy comes out at 1480.5 meV per atom.

---

Compound: K2GePd2
Source: the Alexandria database
Functional: GGA-PBE
Structure: optimized geometry

a = 6.5574 Å, b = 6.5574 Å, c = 5.5999 Å
α = 90.00°, β = 90.00°, γ = 90.00°
Space group P4/mbm (No. 127)
Inequivalent atoms, fractional coordinates:
K 0.1760 0.3240 0.0000 (multiplicity 4)
Ge 0.0000 0.0000 0.5000 (multiplicity 2)
Pd 0.1502 0.6502 0.5000 (multiplicity 4)

Results
The calculated total energy comes out at -3.599 eV per atom. As for the distance to the lowest polymorph of the same formula: 0.139 eV/atom. The calculated formation energy comes out at -159.6 meV per atom.

---

Compound: K3GePd
Source: the Alexandria database
Functional: GGA-PBE
Structure: optimized geometry

a = 6.1640 Å, b = 6.1640 Å, c = 6.1640 Å
α = 90.00°, β = 90.00°, γ = 90.00°
Space group Pm-3m (No. 221)
Inequivalent atoms, fractional coordinates:
K 0.0000 0.0000 0.5000 (multiplicity 3)
Ge 0.5000 0.5000 0.5000 (multiplicity 1)
Pd 0.0000 0.0000 0.0000 (multiplicity 1)

Results
The calculated total energy comes out at -2.222 eV per atom. As for the distance to the lowest polymorph of the same formula: 0.000 eV/atom. The calculated formation energy comes out at 398.4 meV per atom.

---

Compound: KGePd3
Source: the Alexandria database
Functional: GGA-PBE
Structure: optimized geometry

a = 4.8035 Å, b = 4.8035 Å, c = 4.8035 Å
α = 90.00°, β = 90.00°, γ = 90.00°
Space group Pm-3m (No. 221)
Inequivalent atoms, fractional coordinates:
K 0.0000 0.0000 0.0000 (multiplicity 1)
Ge 0.5000 0.5000 0.5000 (multiplicity 1)
Pd 0.0000 0.5000 0.5000 (multiplicity 3)

Results
The calculated total energy comes out at -4.306 eV per atom. As for the distance to the lowest polymorph of the same formula: 0.239 eV/atom. The calculated formation energy comes out at -47.4 meV per atom.

---

- Look up the calculated total energy of the tenth one.
  -3.599 eV per atom

---

- Which value of calculated total energy does entry 3 give?
  -4.758 eV per atom